(1)
A relaxed structure of ZrMo3Br, computed with GGA-PBE.

Cell: 4.914 4.914 4.914 Å, 90.00 90.00 90.00°
Space group Pm-3m (No. 221)
Inequivalent atoms, fractional coordinates:
1 Zr 0.000 0.000 0.000
2 Mo 0.000 0.000 0.500
3 Br 0.500 0.500 0.500

Summary:
The value obtained for the relative energy among the computed polymorphs is 1.071 eV/atom. As for the formation energy from raw total energies: 2294 meV/atom. The total energy comes out at -6.249 eV per atom. The value obtained for the total magnetization is 0.0 μB per formula unit.

***

(2)
A relaxed structure of CuRe3, computed with GGA-PBE.

Cell: 4.423 5.450 4.730 Å, 90.00 90.00 90.00°
Space group Pmmn (No. 59, origin choice 2)
Inequivalent atoms, fractional coordinates:
1 Cu 0.250 0.250 0.167
2 Re 0.250 0.001 0.673
3 Re 0.250 0.750 0.164

Summary:
The total energy comes out at -10.230 eV per atom. The value obtained for the total magnetization is 0.0 μB per formula unit.

***

(3)
A relaxed structure of RbInGeAs2, computed with GGA-PBE.

Cell: 5.324 5.324 5.584 Å, 90.00 90.00 90.00°
Space group P4/mmm (No. 123)
Inequivalent atoms, fractional coordinates:
1 Rb 0.000 0.000 0.000
2 In 0.500 0.500 0.000
3 Ge 0.500 0.500 0.500
4 As 0.000 0.500 0.500

Summary:
The total energy comes out at -3.302 eV per atom. The value obtained for the total magnetization is 0.0 μB per formula unit.

***

(4)
A relaxed structure of Tb6Nd3Sm2Tm, computed with GGA-PBE.

Cell: 6.232 10.790 11.904 Å, 90.00 100.03 90.00°
Space group C2/m (No. 12)
Inequivalent atoms, fractional coordinates:
1 Tb 0.249 0.166 0.247
2 Tb 0.250 0.000 0.752
3 Nd 0.000 0.167 0.500
4 Nd 0.000 0.500 0.500
5 Sm 0.000 0.334 0.000
6 Tm 0.000 0.000 0.000

Summary:
The total energy comes out at -4.652 eV per atom. The value obtained for the total magnetization is 0.0 μB per formula unit.

***

(5)
A relaxed structure of BeFeAsBr2, computed with GGA-PBE.

Cell: 5.100 5.100 4.548 Å, 90.00 90.00 90.00°
Space group P4/mmm (No. 123)
Inequivalent atoms, fractional coordinates:
1 Be 0.000 0.000 0.000
2 Fe 0.500 0.500 0.500
3 As 0.500 0.500 0.000
4 Br 0.000 0.500 0.500

Summary:
The value obtained for the relative energy among the computed polymorphs is 0.094 eV/atom. As for the formation energy from raw total energies: 708 meV/atom. The total energy comes out at -3.329 eV per atom. The value obtained for the total magnetization is 1.5 μB per formula unit.

***

(6)
A relaxed structure of LuPaPb2, computed with GGA-PBE.

Cell: 5.752 5.752 3.304 Å, 90.00 90.00 90.00°
Space group P4/mmm (No. 123)
Inequivalent atoms, fractional coordinates:
1 Lu 0.000 0.000 0.000
2 Pa 0.500 0.500 0.000
3 Pb 0.000 0.500 0.500

Summary:
The value obtained for the relative energy among the computed polymorphs is 0.000 eV/atom. The total energy comes out at -5.455 eV per atom. The value obtained for the total magnetization is 0.8 μB per formula unit.

***

(7)
A relaxed structure of Pm2Cu9Pd, computed with GGA-PBE.

Cell: 5.1502 5.1502 24.3673 Å, 90.00 90.00 120.00°
Space group R-3m (No. 166, hexagonal axes)
Inequivalent atoms, fractional coordinates:
1 Pm 0.0000 0.0000 0.1310
2 Cu 0.0000 0.0000 0.3333
3 Cu 0.0000 0.0000 0.5000
4 Cu 0.0025 0.5012 0.9205
5 Pd 0.0000 0.0000 0.0000

Summary:
The total energy comes out at -4.371 eV per atom. The value obtained for the total magnetization is 0.0 μB per formula unit.

***

(8)
A relaxed structure of AcMgRh2, computed with GGA-PBE.

Cell: 4.5071 4.5071 14.7054 Å, 90.00 90.00 120.00°
Space group R-3m (No. 166, hexagonal axes)
Inequivalent atoms, fractional coordinates:
1 Ac 0.0000 0.0000 0.0000
2 Mg 0.0000 0.0000 0.5000
3 Rh 0.0000 0.0000 0.2126

Summary:
The total energy comes out at -5.568 eV per atom. The value obtained for the total magnetization is 0.0 μB per formula unit.

***

Question: What is the formula in the second record?
Answer: CuRe3